Compound: Ba2TcSb
Source: the Alexandria database
Functional: GGA-PBEsol
Structure: optimized geometry

Unit cell a=3.602 b=4.677 c=7.250 alpha=90.00 beta=90.00 gamma=90.00
Fractional positions:
Ba (0.000, 0.000, 0.741)
Ba (0.000, 0.000, 0.259)
Sb (0.500, 0.500, 0.000)
Tc (0.500, 0.500, 0.500)

Calculated values
Space group   Pmmm
Energy relative to the elements, uncorrected   416 meV per atom
Magnetic moment   2.172 Bohr magnetons per cell
E   -0.3391 Ry per atom